No. 1
Li2ZnCd3, optimized geometry, DFT PBE-GGA; VASP energy = -17.6 eV/cell; polymorph energy (0 for the lowest one) = 0 meV per atom
1.0
4.487 0.000 0.000
0.000 5.763 0.000
0.000 0.000 8.578
Li Zn Cd
4 2 6
direct
0.500 0.667 0.839
0.000 0.837 0.345
0.500 0.167 0.161
0.000 0.337 0.655
0.500 0.563 0.509
0.500 0.063 0.491
0.500 0.172 0.817
0.000 0.828 0.659
0.500 0.672 0.183
0.000 0.433 0.993
0.000 0.328 0.341
0.000 0.933 0.007

***

No. 2
LiZnCd2, optimized geometry, DFT PBE-GGA; VASP energy = -9.7 eV/cell
1.0
-2.608 -6.299 -3.760
6.925 -3.430 0.943
1.269 -5.978 1.074
Cd Zn Li
4 2 2
direct
0.646 0.125 0.250
0.875 0.896 0.750
0.104 0.625 0.250
0.375 0.354 0.750
0.000 0.000 0.000
0.750 0.250 0.500
0.500 0.500 0.000
0.250 0.750 0.500

***

No. 3
Li2ZnCd, optimized geometry, DFT PBE-GGA; VASP energy = -6.7 eV/cell
1.0
-0.230 -1.875 2.346
-3.468 -2.488 -2.329
4.252 -1.207 -2.481
Zn Li Cd
1 2 1
direct
0.495 0.493 0.989
0.999 0.000 0.998
0.760 0.258 0.520
0.247 0.748 0.493

***

No. 4
Li2Zn3Cd8, optimized geometry, DFT PBE-GGA; VASP energy = -15.4 eV/cell
1.0
-2.656 -4.871 -1.142
5.914 -2.198 -4.380
0.163 -0.621 7.267
Cd Li Zn
8 2 3
direct
0.567 0.188 0.758
0.433 0.812 0.242
0.798 0.193 0.387
0.433 0.430 0.242
0.891 0.599 0.199
0.202 0.807 0.613
0.109 0.401 0.801
0.567 0.570 0.758
0.721 0.805 0.610
0.279 0.195 0.390
0.000 0.165 0.000
0.500 0.000 0.000
0.000 0.835 0.000

***

No. 5
Li4Zn3Cd, optimized geometry, DFT PBE-GGA; VASP energy = -27.4 eV/cell
1.0
-0.066 -1.943 4.645
-3.824 -3.784 -1.637
6.678 -5.749 -2.309
Cd Zn Li
2 6 8
direct
0.000 0.500 0.000
0.000 0.500 0.500
0.000 0.000 0.500
0.332 0.500 0.250
0.000 0.000 0.000
0.668 0.500 0.750
0.299 0.000 0.250
0.701 0.000 0.750
0.809 0.243 0.250
0.500 0.243 0.500
0.809 0.757 0.250
0.191 0.757 0.750
0.500 0.757 0.500
0.500 0.757 0.000
0.191 0.243 0.750
0.500 0.243 0.000

***

No. 6
Li2ZnCd, optimized geometry, DFT PBE-GGA; VASP energy = -12.1 eV/cell
1.0
7.375 0.000 0.000
0.000 7.375 0.000
3.687 3.687 2.726
Cd Li Zn
2 4 2
direct
0.750 0.250 0.500
0.000 0.000 0.000
0.875 0.858 0.750
0.375 0.392 0.750
0.142 0.625 0.250
0.608 0.125 0.250
0.250 0.750 0.500
0.500 0.500 0.000

***

No. 7
LiZn17Cd, optimized geometry, DFT PBE-GGA; VASP energy = -24.3 eV/cell
1.0
6.763 0.051 0.855
0.760 6.720 0.855
0.056 0.051 6.817
Zn Cd Li
17 1 1
direct
0.654 0.654 0.153
0.998 0.683 0.305
0.305 0.998 0.683
0.344 0.344 0.845
0.998 0.305 0.683
0.845 0.344 0.344
0.153 0.654 0.654
0.683 0.998 0.305
0.100 0.100 0.100
0.495 0.991 0.991
0.654 0.153 0.654
0.344 0.845 0.344
0.683 0.305 0.998
0.991 0.495 0.991
0.896 0.896 0.896
0.991 0.991 0.495
0.305 0.683 0.998
0.393 0.393 0.393
0.668 0.668 0.668

***

No. 8
Li6ZnCd5, optimized geometry, DFT PBE-GGA; VASP energy = -20.1 eV/cell
1.0
-3.465 -3.053 -1.050
6.194 -1.686 -4.935
0.867 -0.104 8.050
Cd Li Zn
5 6 1
direct
0.500 0.169 0.831
0.000 0.667 0.333
0.500 0.500 0.500
0.500 0.831 0.169
0.000 0.333 0.667
0.756 0.918 0.593
0.740 0.240 0.240
0.244 0.407 0.082
0.244 0.082 0.407
0.260 0.760 0.760
0.756 0.593 0.918
0.000 0.000 0.000

***

Among the records above, which one has the highest VASP energy?
number 3

***

What is the formula in the sixth record?
Li2ZnCd